Record 1
Compound: BaGe2AsP
Source: Alexandria
Functional: PBE-GGA
Structure: relaxed

## Properties
VASP energy in eV per atom: -4.228
Energy of formation from the pure elements in eV per atom: 0.015

Geometry as CIF:
```
data_BaGe2AsP
_symmetry_space_group_name_H-M 'P 4/m m m'
_symmetry_Int_Tables_number 123
_symmetry_space_group_name_Hall '-P 4 2'
_cell_length_a 4.944
_cell_length_b 4.944
_cell_length_c 5.218
_cell_angle_alpha 90.00
_cell_angle_beta 90.00
_cell_angle_gamma 90.00
loop_
_atom_site_label
_atom_site_fract_x
_atom_site_fract_y
_atom_site_fract_z
_atom_site_occupancy
Ba1 0.000 0.000 0.000 1
Ge1 0.000 0.500 0.500 1
As1 0.500 0.500 0.000 1
P1 0.500 0.500 0.500 1
```


Record 2
Compound: Ba2GeAs3Pd4
Source: Alexandria
Functional: PBE-GGA
Structure: relaxed

## Properties
VASP energy in eV per atom: -5.055
Energy of formation from the pure elements in eV per atom: -0.737

Geometry as CIF:
```
data_Ba2GeAs3Pd4
_symmetry_space_group_name_H-M 'P -4 m 2'
_symmetry_Int_Tables_number 115
_cell_length_a 4.538
_cell_length_b 4.538
_cell_length_c 10.451
_cell_angle_alpha 90.00
_cell_angle_beta 90.00
_cell_angle_gamma 90.00
loop_
_symmetry_equiv_pos_as_xyz
'x,y,z'
'y,-x,-z'
'-x,-y,z'
'-y,x,-z'
'-x,y,z'
'-y,-x,-z'
'x,-y,z'
'y,x,-z'
loop_
_atom_site_label
_atom_site_fract_x
_atom_site_fract_y
_atom_site_fract_z
_atom_site_occupancy
Ba1 0.000 0.500 0.249 1
Ge1 0.000 0.000 0.500 1
As1 0.000 0.500 0.875 1
As2 0.500 0.500 0.500 1
Pd1 0.000 0.000 0.000 1
Pd2 0.000 0.500 0.621 1
Pd3 0.500 0.500 0.000 1
```


Record 3
Compound: BaGeAs6Pd2
Source: Alexandria
Functional: PBE-GGA
Structure: relaxed

## Properties
VASP energy in eV per atom: -4.666
Energy of formation from the pure elements in eV per atom: -0.184

Geometry as CIF:
```
data_BaGeAs6Pd2
_symmetry_space_group_name_H-M 'R -3'
_symmetry_Int_Tables_number 148
_symmetry_space_group_name_Hall '-R 3'
_cell_length_a 5.9767
_cell_length_b 5.9767
_cell_length_c 26.8666
_cell_angle_alpha 90.00
_cell_angle_beta 90.00
_cell_angle_gamma 120.00
loop_
_atom_site_label
_atom_site_fract_x
_atom_site_fract_y
_atom_site_fract_z
_atom_site_occupancy
Ba1 0.0000 0.0000 0.0000 1
Ge1 0.0000 0.0000 0.5000 1
As1 0.0473 0.5247 0.0764 1
Pd1 0.0000 0.0000 0.3243 1
```


Record 4
Compound: Ba2Ge3AsPd4
Source: Alexandria
Functional: PBE-GGA
Structure: relaxed

## Properties
VASP energy in eV per atom: -4.991
Energy of formation from the pure elements in eV per atom: -0.679

Geometry as CIF:
```
data_Ba2Ge3AsPd4
_symmetry_space_group_name_H-M 'P -4 m 2'
_symmetry_Int_Tables_number 115
_cell_length_a 4.572
_cell_length_b 4.572
_cell_length_c 10.363
_cell_angle_alpha 90.00
_cell_angle_beta 90.00
_cell_angle_gamma 90.00
loop_
_symmetry_equiv_pos_as_xyz
'x,y,z'
'y,-x,-z'
'-x,-y,z'
'-y,x,-z'
'-x,y,z'
'-y,-x,-z'
'x,-y,z'
'y,x,-z'
loop_
_atom_site_label
_atom_site_fract_x
_atom_site_fract_y
_atom_site_fract_z
_atom_site_occupancy
Ba1 0.000 0.500 0.245 1
Ge1 0.000 0.000 0.000 1
Ge2 0.000 0.500 0.616 1
As1 0.500 0.500 0.000 1
Pd1 0.000 0.000 0.500 1
Pd2 0.000 0.500 0.876 1
Pd3 0.500 0.500 0.500 1
```


Record 5
Compound: Ba2Ge3AsPt4
Source: Alexandria
Functional: PBE-GGA
Structure: relaxed

## Properties
VASP energy in eV per atom: -5.415
Energy of formation from the pure elements in eV per atom: -0.764

Geometry as CIF:
```
data_Ba2Ge3AsPt4
_symmetry_space_group_name_H-M 'P -4 m 2'
_symmetry_Int_Tables_number 115
_cell_length_a 4.587
_cell_length_b 4.587
_cell_length_c 10.201
_cell_angle_alpha 90.00
_cell_angle_beta 90.00
_cell_angle_gamma 90.00
loop_
_symmetry_equiv_pos_as_xyz
'x,y,z'
'y,-x,-z'
'-x,-y,z'
'-y,x,-z'
'-x,y,z'
'-y,-x,-z'
'x,-y,z'
'y,x,-z'
loop_
_atom_site_label
_atom_site_fract_x
_atom_site_fract_y
_atom_site_fract_z
_atom_site_occupancy
Ba1 0.000 0.500 0.246 1
Ge1 0.000 0.000 0.000 1
Ge2 0.000 0.500 0.619 1
As1 0.500 0.500 0.000 1
Pt1 0.000 0.000 0.500 1
Pt2 0.000 0.500 0.880 1
Pt3 0.500 0.500 0.500 1
```


Record 6
Compound: Ba2GeAsPt6
Source: Alexandria
Functional: PBE-GGA
Structure: relaxed

## Properties
VASP energy in eV per atom: -5.597
Energy of formation from the pure elements in eV per atom: -0.661

Geometry as CIF:
```
data_Ba2GeAsPt6
_symmetry_space_group_name_H-M 'C 1 2/m 1'
_symmetry_Int_Tables_number 12
_cell_length_a 11.713
_cell_length_b 6.778
_cell_length_c 6.857
_cell_angle_alpha 90.00
_cell_angle_beta 124.67
_cell_angle_gamma 90.00
loop_
_symmetry_equiv_pos_as_xyz
'x,y,z'
'-x,-y,-z'
'-x,y,-z'
'x,-y,z'
'x+1/2,y+1/2,z'
'-x+1/2,-y+1/2,-z'
'-x+1/2,y+1/2,-z'
'x+1/2,-y+1/2,z'
loop_
_atom_site_label
_atom_site_fract_x
_atom_site_fract_y
_atom_site_fract_z
_atom_site_occupancy
Ba1 0.211 0.000 0.133 1
Ge1 0.000 0.500 0.000 1
As1 0.000 0.000 0.500 1
Pt1 0.048 0.297 0.348 1
Pt2 0.248 0.000 0.652 1
```


Record 7
Compound: BaReGe2As
Source: Alexandria
Functional: PBE-GGA
Structure: relaxed

## Properties
VASP energy in eV per atom: -5.301
Energy of formation from the pure elements in eV per atom: 0.350

Geometry as CIF:
```
data_BaReGe2As
_symmetry_space_group_name_H-M 'P 4/m m m'
_symmetry_Int_Tables_number 123
_symmetry_space_group_name_Hall '-P 4 2'
_cell_length_a 4.839
_cell_length_b 4.839
_cell_length_c 6.012
_cell_angle_alpha 90.00
_cell_angle_beta 90.00
_cell_angle_gamma 90.00
loop_
_atom_site_label
_atom_site_fract_x
_atom_site_fract_y
_atom_site_fract_z
_atom_site_occupancy
Ba1 0.000 0.000 0.000 1
Re1 0.000 0.000 0.500 1
Ge1 0.000 0.500 0.500 1
As1 0.500 0.500 0.000 1
```


Record 8
Compound: BaGeAsRh3
Source: Alexandria
Functional: PBE-GGA
Structure: relaxed

## Properties
VASP energy in eV per atom: -6.099
Energy of formation from the pure elements in eV per atom: -0.559

Geometry as CIF:
```
data_BaGeAsRh3
_symmetry_space_group_name_H-M 'C m c m'
_symmetry_Int_Tables_number 63
_symmetry_space_group_name_Hall '-C 2c 2'
_cell_length_a 5.952
_cell_length_b 14.696
_cell_length_c 5.958
_cell_angle_alpha 90.00
_cell_angle_beta 90.00
_cell_angle_gamma 90.00
loop_
_atom_site_label
_atom_site_fract_x
_atom_site_fract_y
_atom_site_fract_z
_atom_site_occupancy
Ba1 0.000 0.247 0.250 1
Ge1 0.000 0.088 0.750 1
As1 0.000 0.415 0.750 1
Rh1 0.000 0.253 0.750 1
Rh2 0.248 0.500 0.000 1
```


Record 9
Compound: BaGeAs6Ru2
Source: Alexandria
Functional: PBE-GGA
Structure: relaxed

## Properties
VASP energy in eV per atom: -5.363
Energy of formation from the pure elements in eV per atom: -0.064

Geometry as CIF:
```
data_BaGeAs6Ru2
_symmetry_space_group_name_H-M 'R -3'
_symmetry_Int_Tables_number 148
_symmetry_space_group_name_Hall '-R 3'
_cell_length_a 6.7310
_cell_length_b 6.7310
_cell_length_c 22.3894
_cell_angle_alpha 90.00
_cell_angle_beta 90.00
_cell_angle_gamma 120.00
loop_
_atom_site_label
_atom_site_fract_x
_atom_site_fract_y
_atom_site_fract_z
_atom_site_occupancy
Ba1 0.0000 0.0000 0.0000 1
Ge1 0.0000 0.0000 0.5000 1
As1 0.0127 0.3115 0.8843 1
Ru1 0.0000 0.0000 0.1849 1
```


Record 10
Compound: Ba2GeSbAs
Source: Alexandria
Functional: PBE-GGA
Structure: relaxed

## Properties
VASP energy in eV per atom: -4.242
Formation energy from raw total energies in eV per atom: -0.795

Geometry as CIF:
```
data_Ba2GeSbAs
_symmetry_space_group_name_H-M 'P 1 21/m 1'
_symmetry_Int_Tables_number 11
_cell_length_a 7.705
_cell_length_b 4.937
_cell_length_c 10.064
_cell_angle_alpha 90.00
_cell_angle_beta 105.12
_cell_angle_gamma 90.00
loop_
_symmetry_equiv_pos_as_xyz
'x,y,z'
'-x,-y,-z'
'-x,y+1/2,-z'
'x,-y+1/2,z'
loop_
_atom_site_label
_atom_site_fract_x
_atom_site_fract_y
_atom_site_fract_z
_atom_site_occupancy
Ba1 0.230 0.250 0.413 1
Ba2 0.248 0.250 0.986 1
Ge1 0.479 0.750 0.225 1
Sb1 0.352 0.750 0.700 1
As1 0.156 0.750 0.194 1
```


Record 11
Compound: BaGeAsSe2
Source: Alexandria
Functional: PBE-GGA
Structure: relaxed

## Properties
VASP energy in eV per atom: -4.158
Formation energy from raw total energies in eV per atom: -0.527
Energy relative to the lowest polymorph listed for this composition in meV per atom: 0

Geometry as CIF:
```
data_BaGeAsSe2
_symmetry_space_group_name_H-M 'P 4/m m m'
_symmetry_Int_Tables_number 123
_symmetry_space_group_name_Hall '-P 4 2'
_cell_length_a 5.268
_cell_length_b 5.268
_cell_length_c 4.954
_cell_angle_alpha 90.00
_cell_angle_beta 90.00
_cell_angle_gamma 90.00
loop_
_atom_site_label
_atom_site_fract_x
_atom_site_fract_y
_atom_site_fract_z
_atom_site_occupancy
Ba1 0.000 0.000 0.000 1
Ge1 0.500 0.500 0.500 1
As1 0.500 0.500 0.000 1
Se1 0.000 0.500 0.500 1
```


Record 12
Compound: BaGeAsSe2
Source: Alexandria
Functional: PBE-GGA
Structure: relaxed

## Properties
VASP energy in eV per atom: -2.856
Formation energy from raw total energies in eV per atom: 0.776
Energy relative to the lowest polymorph listed for this composition in meV per atom: 1302

Geometry as CIF:
```
data_BaGeAsSe2
_symmetry_space_group_name_H-M 'P 4/m m m'
_symmetry_Int_Tables_number 123
_symmetry_space_group_name_Hall '-P 4 2'
_cell_length_a 5.901
_cell_length_b 5.901
_cell_length_c 5.754
_cell_angle_alpha 90.00
_cell_angle_beta 90.00
_cell_angle_gamma 90.00
loop_
_atom_site_label
_atom_site_fract_x
_atom_site_fract_y
_atom_site_fract_z
_atom_site_occupancy
Ba1 0.000 0.000 0.000 1
Ge1 0.500 0.500 0.500 1
As1 0.000 0.000 0.500 1
Se1 0.000 0.500 0.000 1
```


Which of these has the highest VASP energy?
number 12